This record from Alexandria via LeMat-Bulk describes a relaxed structure of SrPaSeO2. The functional is GGA-PBE.

Lattice parameters (Å, degrees): 4.2605 4.2605 6.1969 90.00 90.00 90.00
With the nearest neighbours (Å) after each atom.
Element x y z (fractional)
Sr 0.0000 0.0000 0.0000  4 O 2.69
Pa 0.5000 0.5000 0.3610  4 O 2.21
Se 0.5000 0.5000 0.8268  1 Pa 2.89, 4 Sr 3.20
O 0.0000 0.5000 0.2641  2 Pa 2.21
O 0.5000 0.0000 0.2641  2 Pa 2.21

Values from the calculation:
Total DFT energy (no corrections) ... -7.695 eV/atom
ΔE_f (raw) ... -2.779 eV per atom
N(E_F) ... 3.83 states/eV/cell
M_tot ... 1.0 μB per formula unit